Record 1
Below is crystalline Tl2ZnCrF6 at its relaxed geometry, with properties calculated at the PBE with a Hubbard U level.

Lattice parameters (Å, degrees): 6.068 6.072 8.357 90.00 90.00 90.00
Site moments in Bohr magnetons follow the coordinates.
Positions (direct):
Tl (0.500, 0.750, 0.250)  0.00
Tl (0.000, 0.250, 0.750)  0.00
Tl (0.500, 0.750, 0.750)  0.00
Tl (0.000, 0.250, 0.250)  0.00
Zn (0.000, 0.750, 0.500)  0.01
Zn (0.500, 0.250, 0.000)  0.01
Cr (0.500, 0.250, 0.500)  3.81
Cr (0.000, 0.750, 0.000)  3.81
F (0.500, 0.250, 0.258)  0.00
F (0.500, 0.250, 0.742)  0.00
F (0.000, 0.750, 0.242)  0.00
F (0.000, 0.750, 0.758)  0.00
F (0.240, 0.990, 0.500)  0.01
F (0.760, 0.990, 0.500)  0.01
F (0.240, 0.510, 0.500)  0.01
F (0.760, 0.510, 0.500)  0.01
F (0.740, 0.490, 0.000)  0.01
F (0.260, 0.490, 0.000)  0.01
F (0.260, 0.010, 0.000)  0.01
F (0.740, 0.010, 0.000)  0.01

Calculated values
- Symmetry: I4/mmm (139)



Record 2
Below is crystalline Tl3Zn2CrF9 at its relaxed geometry, with properties calculated at the PBE with a Hubbard U level.

Lattice parameters (Å, degrees): 5.978 5.978 7.321 90.00 90.00 120.00
Site moments in Bohr magnetons follow the coordinates.
Positions (direct):
Tl (0.333, 0.667, 0.669)  0.00
Tl (0.000, 0.000, 0.000)  0.00
Tl (0.667, 0.333, 0.331)  0.00
Zn (0.333, 0.667, 0.165)  0.02
Zn (0.667, 0.333, 0.835)  0.02
Cr (0.000, 0.000, 0.500)  3.77
F (0.832, 0.168, 0.668)  0.00
F (0.832, 0.664, 0.668)  0.00
F (0.336, 0.168, 0.668)  0.00
F (0.664, 0.832, 0.332)  0.00
F (0.168, 0.336, 0.332)  0.00
F (0.168, 0.832, 0.332)  0.00
F (0.500, 0.000, 0.000)  0.00
F (0.000, 0.500, 0.000)  0.00
F (0.500, 0.500, 0.000)  0.00

Calculated values
- Symmetry: P-3m1 (164)
- D(E_F): 0.21 states/eV per atom



Taking the records one at a time from the top gives VASP energy values of -4.661; -4.392 eV/atom.